A plane-wave DFT calculation with GGA-PBE was carried out for crystalline HoTaIr at its relaxed geometry. Values from VASP.

```
&SYSTEM
  ibrav = 0, nat = 3, ntyp = 3
/
ATOMIC_SPECIES
Ta 180.95 Ta.upf
Ir 192.22 Ir.upf
Ho 164.93 Ho.upf
CELL_PARAMETERS angstrom
-3.215 2.542 2.016
-0.499 -0.126 4.539
1.196 3.610 2.530
ATOMIC_POSITIONS angstrom
Ta -0.629 1.507 2.271
Ir 0.000 0.000 0.000
Ho -1.888 4.520 6.813
```

Output
- symmetry = F-43m
- formation enthalpy at 0 K (eV per atom) = -0.1817
- volume (A^3/atom) = 22.46

---

A plane-wave DFT calculation with GGA-PBE was carried out for crystalline HoTcIr at its relaxed geometry. Values from VASP.

```
&SYSTEM
  ibrav = 0, nat = 3, ntyp = 3
/
ATOMIC_SPECIES
Ir 192.22 Ir.upf
Tc 98.00 Tc.upf
Ho 164.93 Ho.upf
CELL_PARAMETERS angstrom
-4.224 -1.323 0.777
-3.410 2.841 -0.705
-2.812 -0.675 -3.440
ATOMIC_POSITIONS angstrom
Ir -2.611 0.211 -0.842
Tc -7.834 0.632 -2.526
Ho 0.000 0.000 0.000
```

Output
- symmetry = F-43m
- formation enthalpy at 0 K (eV per atom) = 0.8954
- volume (A^3/atom) = 21.39

---

A plane-wave DFT calculation with GGA-PBE was carried out for crystalline Ho3Te5Ir at its relaxed geometry. Values from VASP.

```
&SYSTEM
  ibrav = 0, nat = 9, ntyp = 3
/
ATOMIC_SPECIES
Te 127.60 Te.upf
Ho 164.93 Ho.upf
Ir 192.22 Ir.upf
CELL_PARAMETERS angstrom
-4.417 3.054 6.719
0.308 -8.472 -1.453
3.101 -0.257 2.155
ATOMIC_POSITIONS angstrom
Te -1.291 -0.917 5.073
Te 0.283 -4.759 2.349
Te 1.622 -2.099 0.740
Te -1.603 -4.287 5.119
Te 0.523 0.582 2.641
Ho -1.454 -1.917 1.863
Ho -2.854 1.973 4.342
Ho 0.199 -5.475 -0.939
Ir 0.000 0.000 0.000
```

Output
- symmetry = P-62m
- energy (eV per cell) = -45.11
- volume (A^3/atom) = 26.95

---

A plane-wave DFT calculation with GGA-PBE was carried out for crystalline Ho3Te5Ir at its relaxed geometry. Values from VASP.

```
&SYSTEM
  ibrav = 0, nat = 9, ntyp = 3
/
ATOMIC_SPECIES
Ho 164.93 Ho.upf
Te 127.60 Te.upf
Ir 192.22 Ir.upf
CELL_PARAMETERS angstrom
8.534 0.000 0.000
-4.267 7.390 0.000
0.000 0.000 4.134
ATOMIC_POSITIONS angstrom
Ho 2.247 0.000 2.067
Ho 3.143 5.444 2.067
Ho -1.123 1.946 2.067
Te -2.950 5.110 0.000
Te 0.000 4.927 2.067
Te 1.316 2.280 0.000
Te 4.267 2.463 2.067
Te 5.901 0.000 0.000
Ir 0.000 0.000 0.000
```

Output
- symmetry = P-62m
- energy (eV per cell) = -45.83
- volume (A^3/atom) = 28.97

---

A plane-wave DFT calculation with GGA-PBE was carried out for crystalline Ho3Tm3Te2Ir at its relaxed geometry. Values from VASP.

```
&SYSTEM
  ibrav = 0, nat = 9, ntyp = 4
/
ATOMIC_SPECIES
Ho 164.93 Ho.upf
Tm 168.93 Tm.upf
Ir 192.22 Ir.upf
Te 127.60 Te.upf
CELL_PARAMETERS angstrom
8.271 0.000 0.000
-4.135 7.163 0.000
0.000 0.000 3.950
ATOMIC_POSITIONS angstrom
Ho 1.634 2.829 0.000
Ho -2.502 4.333 0.000
Ho 5.004 0.000 0.000
Tm 1.995 0.000 1.975
Tm -0.998 1.728 1.975
Tm 3.138 5.435 1.975
Ir 0.000 0.000 0.000
Te 0.000 4.775 1.975
Te 4.135 2.388 1.975
```

Output
- symmetry = P-62m
- energy (eV per cell) = -50.01
- volume (A^3/atom) = 26.00

---

A plane-wave DFT calculation with GGA-PBE was carried out for crystalline Ho3Tm3Te2Ir at its relaxed geometry. Values from VASP.

```
&SYSTEM
  ibrav = 0, nat = 9, ntyp = 4
/
ATOMIC_SPECIES
Ho 164.93 Ho.upf
Ir 192.22 Ir.upf
Tm 168.93 Tm.upf
Te 127.60 Te.upf
CELL_PARAMETERS angstrom
-5.084 3.968 5.206
-2.499 -6.968 -3.726
1.426 -2.120 3.008
ATOMIC_POSITIONS angstrom
Ho -0.525 -0.094 2.771
Ho -5.023 -3.330 2.624
Ho 0.105 -2.756 0.597
Ir 0.000 0.000 0.000
Tm -3.087 2.410 3.162
Tm -2.977 -1.178 0.581
Tm -1.518 -4.232 -2.263
Te -2.647 -4.383 0.755
Te -3.509 -0.738 3.733
```

Output
- symmetry = P-62m
- energy (eV per cell) = -49.67
- volume (A^3/atom) = 26.08

---

A plane-wave DFT calculation with GGA-PBE was carried out for crystalline Ho3Zr3Te2Ir at its relaxed geometry. Values from VASP.

```
&SYSTEM
  ibrav = 0, nat = 9, ntyp = 4
/
ATOMIC_SPECIES
Te 127.60 Te.upf
Zr 91.22 Zr.upf
Ho 164.93 Ho.upf
Ir 192.22 Ir.upf
CELL_PARAMETERS angstrom
-2.074 -5.791 5.255
6.567 4.527 1.354
-2.138 2.523 1.936
ATOMIC_POSITIONS angstrom
Te -0.263 -1.090 4.923
Te 2.617 2.349 3.622
Zr 2.343 0.301 5.987
Zr -1.568 -0.132 2.232
Zr 0.510 2.350 1.294
Ho -1.248 -3.484 3.161
Ho 3.951 2.724 0.815
Ho 1.790 -0.504 2.633
Ir 0.000 0.000 0.000
```

Output
- symmetry = P-62m
- energy (eV per cell) = -61.67
- volume (A^3/atom) = 24.14

---

A plane-wave DFT calculation with GGA-PBE was carried out for crystalline Ho3Zr3Te2Ir at its relaxed geometry. Values from VASP.

```
&SYSTEM
  ibrav = 0, nat = 9, ntyp = 4
/
ATOMIC_SPECIES
Ho 164.93 Ho.upf
Ir 192.22 Ir.upf
Zr 91.22 Zr.upf
Te 127.60 Te.upf
CELL_PARAMETERS angstrom
-7.651 -2.715 -0.830
4.783 0.793 -6.565
1.192 -3.495 0.446
ATOMIC_POSITIONS angstrom
Ho -1.311 -2.425 0.016
Ho 1.788 -1.550 -1.413
Ho -1.557 -3.191 -5.328
Ir 0.000 0.000 0.000
Zr -4.542 -1.612 -0.493
Zr 2.840 0.471 -3.897
Zr -1.165 -0.781 -3.005
Te 1.234 -2.124 -4.430
Te -2.910 -3.294 -2.518
```

Output
- symmetry = P-62m
- energy (eV per cell) = -60.15
- volume (A^3/atom) = 23.84

---

A plane-wave DFT calculation with GGA-PBE was carried out for crystalline Ho2ThIr9 at its relaxed geometry. Values from VASP.

```
&SYSTEM
  ibrav = 0, nat = 12, ntyp = 3
/
ATOMIC_SPECIES
Ho 164.93 Ho.upf
Th 232.04 Th.upf
Ir 192.22 Ir.upf
CELL_PARAMETERS angstrom
0.190 -0.610 9.290
5.260 -0.723 7.650
2.679 3.926 8.008
ATOMIC_POSITIONS angstrom
Ho 1.142 0.364 3.504
Ho 6.987 2.229 21.445
Th 0.000 0.000 0.000
Ir 3.485 0.776 15.050
Ir 3.400 -0.452 10.540
Ir 2.708 0.864 8.311
Ir 2.109 1.873 10.719
Ir 5.421 1.729 16.638
Ir 6.021 0.720 14.230
Ir 4.065 1.296 12.475
Ir 4.644 1.817 9.899
Ir 4.730 3.045 14.409
```

Output
- symmetry = R-3m
- formation enthalpy at 0 K (eV per atom) = -0.6508
- volume (A^3/atom) = 18.02

---

A plane-wave DFT calculation with GGA-PBE was carried out for crystalline HoThIr at its relaxed geometry. Values from VASP.

```
&SYSTEM
  ibrav = 0, nat = 3, ntyp = 3
/
ATOMIC_SPECIES
Ho 164.93 Ho.upf
Th 232.04 Th.upf
Ir 192.22 Ir.upf
CELL_PARAMETERS angstrom
2.717 -4.038 0.563
-1.944 -4.406 -0.903
1.437 -2.553 -3.927
ATOMIC_POSITIONS angstrom
Ho 0.000 0.000 0.000
Th 1.105 -5.499 -2.134
Ir 0.552 -2.749 -1.067
```

Output
- symmetry = F-43m
- formation enthalpy at 0 K (eV per atom) = -0.6005
- volume (A^3/atom) = 27.72

---

A plane-wave DFT calculation with GGA-PBE was carried out for crystalline HoTlIr at its relaxed geometry. Values from VASP.

```
&SYSTEM
  ibrav = 0, nat = 3, ntyp = 3
/
ATOMIC_SPECIES
Ir 192.22 Ir.upf
Ho 164.93 Ho.upf
Tl 204.38 Tl.upf
CELL_PARAMETERS angstrom
0.000 3.323 3.323
3.323 0.000 3.323
3.323 3.323 0.000
ATOMIC_POSITIONS angstrom
Ir 4.985 4.985 4.985
Ho 1.662 1.662 1.662
Tl 0.000 0.000 0.000
```

Output
- symmetry = F-43m
- energy (eV per cell) = -15.19
- volume (A^3/atom) = 24.46

---

A plane-wave DFT calculation with GGA-PBE was carried out for crystalline HoTmIr at its relaxed geometry. Values from VASP.

```
&SYSTEM
  ibrav = 0, nat = 3, ntyp = 3
/
ATOMIC_SPECIES
Ir 192.22 Ir.upf
Tm 168.93 Tm.upf
Ho 164.93 Ho.upf
CELL_PARAMETERS angstrom
3.631 -2.615 1.348
2.649 1.359 3.602
-0.176 -2.337 4.043
ATOMIC_POSITIONS angstrom
Ir 4.579 -2.695 6.745
Tm 0.000 0.000 0.000
Ho 1.526 -0.898 2.248
```

Output
- symmetry = F-43m
- formation enthalpy at 0 K (eV per atom) = 0.1543
- volume (A^3/atom) = 24.06

---

no.,total magnetic moment (μB/f.u.)
1,0.02
2,2.61
3,0.03
4,0.01
5,0.08
6,0.07
7,0.00
8,0.00
9,0.02
10,0.00
11,0.02
12,0.01